Here is a relaxed structure of CuSb4S6 from the Alexandria database. Energies are from PBE-GGA.

Unit cell a=7.1246 b=9.0234 c=11.1292 alpha=74.31 beta=71.33 gamma=66.75
Last column: nearest neighbours and their distance in Å.
Element x y z (fractional)
S  0.0546  0.6380  0.4121  1 Cu 2.23
S  0.7185  0.8543  0.1930  1 Cu 2.37, 1 Sb 2.47
S  0.4533  0.9742  0.5183  1 Cu 2.26, 1 Sb 2.47
S  0.0543  0.4742  0.0183  1 Cu 2.26, 1 Sb 2.47
S  0.2343  0.3543  0.6930  1 Cu 2.37, 1 Sb 2.47
S  0.8573  0.1511  0.2693  2 Sb 2.46-2.67
S  0.8953  0.1380  0.9121  1 Cu 2.23
S  0.4499  0.6476  0.0965  2 Sb 2.48
S  0.7223  0.6511  0.7693  2 Sb 2.46-2.67
S  0.8059  0.1476  0.5965  2 Sb 2.48
S  0.5289  0.5969  0.4427  1 Cu 2.38, 1 Sb 2.53
S  0.4314  0.0969  0.9427  1 Cu 2.38, 1 Sb 2.53
Sb  0.5943  0.1502  0.1073  3 S 2.47-2.68
Sb  0.7491  0.7438  0.9703  3 S 2.48-2.67
Sb  0.0148  0.3582  0.2493  2 S 2.46-2.47
Sb  0.5368  0.2438  0.4703  3 S 2.48-2.67
Sb  0.3777  0.8582  0.7493  2 S 2.46-2.47
Sb  0.5970  0.2957  0.7810  3 S 2.48-2.67
Sb  0.1483  0.6502  0.6073  3 S 2.47-2.68
Sb  0.3263  0.7957  0.2810  3 S 2.48-2.67
Cu  0.0936  0.2763  0.9144  4 S 2.23-2.38
Cu  0.7157  0.7763  0.4144  4 S 2.23-2.38

Computed properties:
Space group   Cc (9)
Magnetic moment   1.47 μB per cell
Raw formation energy   -0.15 eV per atom
Mass density   4.02 Mg/m³
Total energy   -4.270 eV per atom

***

Here is a relaxed structure of LiFe2Pb from the Alexandria database. Energies are from PBE-GGA.

Unit cell a=8.7306 b=8.7306 c=8.7306 alpha=20.51 beta=20.51 gamma=20.51
Last column: nearest neighbours and their distance in Å.
Element x y z (fractional)
Fe  0.9874  0.9874  0.9874  3 Fe 2.39
Fe  0.2589  0.2589  0.2589  3 Fe 2.39
Pb  0.7447  0.7447  0.7447  3 Fe 2.94, 3 Li 3.08, 6 Pb 3.11
Li  0.5090  0.5090  0.5090  3 Fe 2.79, 3 Pb 3.08, 6 Li 3.11

Computed properties:
Space group   R3m (160)
Magnetic moment   5.29 μB per cell
Mass density   7.56 Mg/m³
Total energy   -5.237 eV per atom
Formation energy from the elements   154 kJ/mol of formula units

***

Here is a relaxed structure of Dy4HgN from the Alexandria database. Energies are from PBE-GGA.

Unit cell a=3.6818 b=6.6052 c=6.6052 alpha=92.78 beta=90.00 gamma=90.00
Last column: nearest neighbours and their distance in Å.
Element x y z (fractional)
N  0.5000  0.0000  0.0000  6 Dy 2.35-2.44
Dy  0.0000  0.8249  0.8248  2 N 2.44
Dy  0.5000  0.7538  0.2462  1 N 2.35
Dy  0.5000  0.2462  0.7538  1 N 2.35
Dy  0.0000  0.1751  0.1752  2 N 2.44
Hg  0.0000  0.5000  0.5000  6 Dy 2.96-3.05

Computed properties:
Space group   Cmmm (65)
Magnetic moment   0.00 μB per cell
Raw formation energy   -0.50 eV per atom
Mass density   8.95 Mg/m³
Total energy   -5.002 eV per atom

***

Here is a relaxed structure of TiRe2NiGe from the Alexandria database. Energies are from PBE-GGA.

Unit cell a=4.5565 b=4.1438 c=4.5565 alpha=90.00 beta=90.00 gamma=90.00
Last column: nearest neighbours and their distance in Å.
Element x y z (fractional)
Re  0.0000  0.0000  0.5000  2 Ni 2.28
Re  0.5000  0.0000  0.0000  2 Ni 2.28
Ge  0.0000  0.5000  0.0000  2 Ni 2.07
Ti  0.5000  0.5000  0.5000  8 Re 3.08, 4 Ge 3.22
Ni  0.0000  0.0000  0.0000  2 Ge 2.07, 4 Re 2.28

Computed properties:
Space group   P4/mmm (123)
Magnetic moment   1.73 μB per cell
Mass density   10.65 Mg/m³
Total energy   -7.526 eV per atom
Formation energy from the elements   537 kJ/mol of formula units